Entry 1:
Entry from Alexandria: a relaxed RbLiPm2Br8 crystal (PBE-GGA).

Values from the calculation:
The calculation puts the calculated density at 3.68 g/cm³. The total magnetization is 0.0 Bohr magnetons per cell. The calculation puts the uncorrected formation energy at -1759 meV per atom.

a b c (Å): 7.124 8.955 7.295
angles (deg): 90.00 97.76 90.00
Element x y z (fractional)
Rb (0.000, 0.000, 0.000)
Li (0.000, 0.500, 0.000)
Pm (0.500, 0.259, 0.500)
Pm (0.500, 0.741, 0.500)
Br (0.239, 0.291, 0.172)
Br (0.239, 0.709, 0.172)
Br (0.288, 0.500, 0.649)
Br (0.298, 0.000, 0.636)
Br (0.702, 0.000, 0.364)
Br (0.712, 0.500, 0.351)
Br (0.761, 0.291, 0.828)
Br (0.761, 0.709, 0.828)


Entry 2:
Entry from Alexandria: a relaxed Dy3Y4Tl4 crystal (PBE-GGA).

Values from the calculation:
The calculation puts the calculated density at 8.41 g/cm³. The formation energy from the elements is -0.245 eV/atom. The total magnetization is 1.3 Bohr magnetons per cell.

a b c (Å): 10.605 10.605 10.605
angles (deg): 159.93 126.43 57.79
Element x y z (fractional)
Dy (0.000, 0.000, 0.000)
Dy (0.403, 0.903, 0.500)
Dy (0.597, 0.097, 0.500)
Y (0.027, 0.336, 0.691)
Y (0.355, 0.664, 0.691)
Y (0.645, 0.336, 0.309)
Y (0.973, 0.664, 0.309)
Tl (0.267, 0.267, 0.000)
Tl (0.279, 0.500, 0.779)
Tl (0.721, 0.500, 0.221)
Tl (0.733, 0.733, 0.000)


Entry 3:
Entry from Alexandria: a relaxed ErHfFeCu crystal (PBE-GGA).

Values from the calculation:
The calculation puts the calculated density at 11.06 g/cm³. The formation energy from the elements is -0.088 eV/atom. The total magnetization is 0.4 Bohr magnetons per cell.

a b c (Å): 4.623 4.623 4.623
angles (deg): 60.00 60.00 60.00
Element x y z (fractional)
Er (0.000, 0.000, 0.000)
Hf (0.500, 0.500, 0.500)
Fe (0.750, 0.750, 0.750)
Cu (0.250, 0.250, 0.250)


Entry 4:
Entry from Alexandria: a relaxed ScOs2Au crystal (PBE-GGA).

Values from the calculation:
The calculation puts the calculated density at 15.79 g/cm³. The formation energy from the elements is 0.043 eV/atom. The total magnetization is 0.0 Bohr magnetons per cell.

a b c (Å): 4.917 4.917 4.852
angles (deg): 100.47 100.47 34.61
Element x y z (fractional)
Sc (0.000, 0.000, 0.000)
Os (0.244, 0.244, 0.701)
Os (0.508, 0.508, 0.532)
Au (0.757, 0.757, 0.228)


Entry 5:
Entry from Alexandria: a relaxed HoTaSb crystal (PBE-GGA).

Values from the calculation:
The calculation puts the calculated density at 11.21 g/cm³. The total magnetization is 0.0 Bohr magnetons per cell. The calculation puts the uncorrected formation energy at -535 meV per atom.

a b c (Å): 4.131 4.131 8.119
angles (deg): 90.00 90.00 90.00
Element x y z (fractional)
Ho (0.250, 0.250, 0.142)
Ho (0.750, 0.750, 0.858)
Ta (0.250, 0.750, 0.500)
Ta (0.750, 0.250, 0.500)
Sb (0.250, 0.250, 0.754)
Sb (0.750, 0.750, 0.246)


Entry 6:
Entry from Alexandria: a relaxed AcPmCuNi crystal (PBE-GGA).

Values from the calculation:
The calculation puts the calculated density at 8.54 g/cm³. The formation energy from the elements is -0.121 eV/atom. The total magnetization is 0.0 Bohr magnetons per cell.

a b c (Å): 5.141 5.141 5.141
angles (deg): 60.00 60.00 60.00
Element x y z (fractional)
Ac (0.000, 0.000, 0.000)
Pm (0.500, 0.500, 0.500)
Cu (0.250, 0.250, 0.250)
Ni (0.750, 0.750, 0.750)


Entry 7:
Entry from Alexandria: a relaxed Y3SbSe crystal (PBE-GGA).

Values from the calculation:
The calculation puts the calculated density at 5.72 g/cm³. The total magnetization is 0.0 Bohr magnetons per cell. The calculation puts the uncorrected formation energy at -1184 meV per atom.

a b c (Å): 8.533 4.142 15.348
angles (deg): 90.00 90.00 90.00
Element x y z (fractional)
Y (0.020, 0.250, 0.112)
Y (0.157, 0.250, 0.542)
Y (0.176, 0.750, 0.283)
Y (0.324, 0.250, 0.783)
Y (0.343, 0.750, 0.042)
Y (0.480, 0.750, 0.612)
Y (0.520, 0.250, 0.388)
Y (0.657, 0.250, 0.958)
Y (0.676, 0.750, 0.217)
Y (0.824, 0.250, 0.717)
Y (0.843, 0.750, 0.458)
Y (0.980, 0.750, 0.888)
Sb (0.103, 0.750, 0.692)
Sb (0.397, 0.250, 0.192)
Sb (0.603, 0.750, 0.808)
Sb (0.897, 0.250, 0.308)
Se (0.185, 0.250, 0.950)
Se (0.315, 0.750, 0.450)
Se (0.685, 0.250, 0.550)
Se (0.815, 0.750, 0.050)


Entry 8:
Entry from Alexandria: a relaxed Pm2Sm2Y15 crystal (PBE-GGA).

Values from the calculation:
The calculation puts the calculated density at 4.88 g/cm³. The formation energy from the elements is 0.290 eV/atom. The total magnetization is 0.0 Bohr magnetons per cell.

a b c (Å): 8.815 8.815 8.815
angles (deg): 79.56 79.56 79.56
Element x y z (fractional)
Pm (0.175, 0.175, 0.175)
Pm (0.825, 0.825, 0.825)
Sm (0.404, 0.404, 0.404)
Sm (0.596, 0.596, 0.596)
Y (0.000, 0.500, 0.500)
Y (0.130, 0.130, 0.650)
Y (0.130, 0.650, 0.130)
Y (0.200, 0.500, 0.800)
Y (0.200, 0.800, 0.500)
Y (0.350, 0.870, 0.870)
Y (0.500, 0.000, 0.500)
Y (0.500, 0.200, 0.800)
Y (0.500, 0.500, 0.000)
Y (0.500, 0.800, 0.200)
Y (0.650, 0.130, 0.130)
Y (0.800, 0.200, 0.500)
Y (0.800, 0.500, 0.200)
Y (0.870, 0.350, 0.870)
Y (0.870, 0.870, 0.350)


Entry 9:
Entry from Alexandria: a relaxed Li3Cu2Pt3 crystal (PBE-GGA).

Values from the calculation:
The calculation puts the calculated density at 11.23 g/cm³. The formation energy from the elements is -0.363 eV/atom. The total magnetization is 0.0 Bohr magnetons per cell.

a b c (Å): 4.769 4.769 4.769
angles (deg): 90.89 90.89 90.89
Element x y z (fractional)
Li (0.000, 0.260, 0.740)
Li (0.260, 0.740, 0.000)
Li (0.740, 0.000, 0.260)
Cu (0.261, 0.261, 0.261)
Cu (0.739, 0.739, 0.739)
Pt (0.233, 0.767, 0.500)
Pt (0.500, 0.233, 0.767)
Pt (0.767, 0.500, 0.233)


Entry 10:
Entry from Alexandria: a relaxed PuZr2Sc4 crystal (PBE-GGA).

Values from the calculation:
The calculation puts the calculated density at 5.83 g/cm³. The formation energy from the elements is 0.204 eV/atom. The total magnetization is 5.6 Bohr magnetons per cell.

a b c (Å): 3.269 7.312 7.228
angles (deg): 90.00 90.10 90.00
Element x y z (fractional)
Pu (0.000, 0.000, 0.000)
Zr (0.000, 0.500, 0.000)
Zr (0.000, 0.500, 0.500)
Sc (0.499, 0.224, 0.722)
Sc (0.499, 0.776, 0.722)
Sc (0.501, 0.224, 0.278)
Sc (0.501, 0.776, 0.278)


Entry 11:
Entry from Alexandria: a relaxed NdEr2ScHg4 crystal (PBE-GGA).

Values from the calculation:
The calculation puts the calculated density at 10.93 g/cm³. The formation energy from the elements is -0.444 eV/atom. The total magnetization is 0.4 Bohr magnetons per cell.

a b c (Å): 9.154 9.154 9.154
angles (deg): 32.91 32.91 32.91
Element x y z (fractional)
Nd (0.000, 0.000, 0.000)
Er (0.247, 0.247, 0.247)
Er (0.753, 0.753, 0.753)
Sc (0.500, 0.500, 0.500)
Hg (0.128, 0.128, 0.128)
Hg (0.382, 0.382, 0.382)
Hg (0.618, 0.618, 0.618)
Hg (0.872, 0.872, 0.872)


Entry 12:
Entry from Alexandria: a relaxed Be3HgI crystal (PBE-GGA).

Values from the calculation:
The calculation puts the calculated density at 5.21 g/cm³. The total magnetization is 0.0 Bohr magnetons per cell. The calculation puts the uncorrected formation energy at 1585 meV per atom.

a b c (Å): 4.835 4.835 4.835
angles (deg): 90.00 90.00 90.00
Element x y z (fractional)
Be (0.000, 0.000, 0.500)
Be (0.000, 0.500, 0.000)
Be (0.500, 0.000, 0.000)
Hg (0.500, 0.500, 0.500)
I (0.000, 0.000, 0.000)